Entry from Alexandria via LeMat-Bulk: an optimized crystal structure of Ce2SmGaN (GGA-PBE).

Computed properties:
ΔE_f (raw)   -0.812 eV per atom
Total moment   1.39 Bohr magnetons per cell

abc: 4.8154 4.8154 4.9516
angles: 90.00 90.00 90.00
Closest atoms and distances in Å follow each position.
Fractional positions:
Ce: 0.0000 0.5000 0.0000  2 N 2.41
Ce: 0.5000 0.0000 0.0000  2 N 2.41
Sm: 0.0000 0.0000 0.5000  2 N 2.48
Ga: 0.5000 0.5000 0.5000  4 Sm 3.41, 8 Ce 3.45
N: 0.0000 0.0000 0.0000  4 Ce 2.41, 2 Sm 2.48

=====

Entry from Alexandria via LeMat-Bulk: an optimized crystal structure of Sr4Ce3GaN8 (GGA-PBE).

Computed properties:
ΔE_f (raw)   -0.834 eV per atom
Total moment   0.42 Bohr magnetons per cell

abc: 7.2746 7.2746 7.1812
angles: 118.90 118.90 57.09
Closest atoms and distances in Å follow each position.
Fractional positions:
Sr: 0.0000 0.0000 0.0000  6 N 2.55-2.74
Sr: 0.0000 0.5000 0.0000  6 N 2.65-2.79
Sr: 0.5000 0.0000 0.0000  6 N 2.65-2.79
Sr: 0.5000 0.5000 0.0000  6 N 2.64-2.83
Ce: 0.0000 0.0000 0.5000  6 N 2.38-2.52
Ce: 0.0000 0.5000 0.5000  6 N 2.34-2.58
Ce: 0.5000 0.0000 0.5000  6 N 2.34-2.58
Ga: 0.5000 0.5000 0.5000  4 N 2.27
N: 0.2360 0.2360 0.7077  3 Ce 2.36-2.52
N: 0.2379 0.2379 0.2713  2 Ce 2.34, 1 Sr 2.55
N: 0.2509 0.7299 0.7052  1 Ga 2.27, 1 Ce 2.38
N: 0.2701 0.7491 0.2948  1 Ga 2.27, 1 Ce 2.38
N: 0.7299 0.2509 0.7052  1 Ga 2.27, 1 Ce 2.38
N: 0.7491 0.2701 0.2948  1 Ga 2.27, 1 Ce 2.38
N: 0.7621 0.7621 0.7287  2 Ce 2.34, 1 Sr 2.55
N: 0.7640 0.7640 0.2923  3 Ce 2.36-2.52

=====

total moment of number 1 (Ce2SmGaN)? 1.39 Bohr magnetons per cell